Computed, not measured: an optimized crystal structure of BiPbN2F at the PBE level of DFT.

Cell lengths 4.4520, 4.4520, 4.3082 Å; angles 90.00, 90.00, 90.00 degrees
Last column: nearest neighbours and their distance in Å.
Positions (direct):
Bi1 0.0000 0.0000 0.0000  8 N 3.10, 4 F 3.15
Pb1 0.5000 0.5000 0.5000  2 F 2.15, 4 N 2.23
N1 0.0000 0.5000 0.5000  2 Pb 2.23
N2 0.5000 0.0000 0.5000  2 Pb 2.23
F1 0.5000 0.5000 0.0000  2 Pb 2.15

Raw total energy in eV/atom: -4.60
Density of states at the Fermi level in states/eV per cell: 1.40
ΔE to the lowest computed polymorph in eV/f.u.: 1.182
Uncorrected formation energy in eV/atom: 0.626